No. 1
## Na3BrO (PBEsol)

Data for a geometry-optimized Na3BrO structure.

Calculated values
Calculated total energy ... -3.64 eV per atom
Raw formation energy ... -1.37 eV per atom

Lattice parameters (Å, degrees): 4.5472 4.5472 4.5472 90.00 90.00 90.00
Closest atoms and distances in Å follow each position.
Space group Pm-3m (No. 221)
Inequivalent atoms, fractional coordinates:
Na (0.0000, 0.0000, 0.5000) [3 per cell]  2 O 2.27
Br (0.5000, 0.5000, 0.5000) [1 per cell]  12 Na 3.22
O (0.0000, 0.0000, 0.0000) [1 per cell]  6 Na 2.27

=====

No. 2
## Li3La5Ti8O24 (PBEsol)

Data for a geometry-optimized Li3La5Ti8O24 structure.

Calculated values
Calculated total energy ... -8.77 eV per atom
Raw formation energy ... -3.14 eV per atom

Lattice parameters (Å, degrees): 15.5317 7.7085 8.6165 90.00 116.83 90.00
Closest atoms and distances in Å follow each position.
Space group C2/m (No. 12)
Inequivalent atoms, fractional coordinates:
Li (0.0000, 0.0000, 0.0000) [2 per cell]  4 O 2.31
Li (0.2150, 0.5000, 0.0124) [4 per cell]  2 O 2.01-2.03
La (0.0000, 0.5000, 0.0000) [2 per cell]  12 O 2.58-2.75
La (0.1292, 0.5000, 0.5150) [4 per cell]  9 O 2.47-2.73
La (0.1309, 0.0000, 0.5071) [4 per cell]  7 O 2.45-2.69
Ti (0.0642, 0.2472, 0.7575) [8 per cell]  6 O 1.89-2.03
Ti (0.1836, 0.2451, 0.2386) [8 per cell]  6 O 1.90-2.01
O (0.0000, 0.3030, 0.5000) [4 per cell]  2 Ti 2.03
O (0.0419, 0.0000, 0.6919) [4 per cell]  2 Ti 1.97
O (0.0692, 0.2745, 0.2777) [8 per cell]  2 Ti 1.96-1.97
O (0.0852, 0.5000, 0.8020) [4 per cell]  2 Ti 1.98, 1 Li 2.01
O (0.1022, 0.2170, 0.9969) [8 per cell]  2 Ti 1.89-1.90
O (0.1816, 0.5000, 0.2151) [4 per cell]  2 Ti 1.97, 1 Li 2.03
O (0.1854, 0.2397, 0.7415) [8 per cell]  2 Ti 1.95-1.97
O (0.1911, 0.0000, 0.2746) [4 per cell]  2 Ti 1.91
O (0.2500, 0.2500, 0.5000) [4 per cell]  2 Ti 2.01

=====

No. 3
## LaMgZn2Cu (PBEsol)

Data for a geometry-optimized LaMgZn2Cu structure.

Calculated values
Calculated total energy ... -2.10 eV per atom

Lattice parameters (Å, degrees): 4.7401 4.7401 5.7529 90.00 90.00 90.00
Closest atoms and distances in Å follow each position.
Space group P4/mmm (No. 123)
Inequivalent atoms, fractional coordinates:
La (0.0000, 0.0000, 0.0000) [1 per cell]  2 Mg 2.88
Mg (0.0000, 0.0000, 0.5000) [1 per cell]  4 Zn 2.37
Zn (0.0000, 0.5000, 0.5000) [2 per cell]  2 Mg 2.37
Cu (0.5000, 0.5000, 0.0000) [1 per cell]  4 La 3.35, 8 Zn 3.73

=====

No. 4
## ScNb2B2Ru5 (PBEsol)

Data for a geometry-optimized ScNb2B2Ru5 structure.

Calculated values
Calculated total energy ... -9.83 eV per atom

Lattice parameters (Å, degrees): 13.2083 13.2570 3.0272 90.00 90.00 90.00
Closest atoms and distances in Å follow each position.
Space group Cmmm (No. 65)
Inequivalent atoms, fractional coordinates:
Sc (0.1746, 0.0000, 0.0000) [4 per cell]  3 B 2.68-2.80, 10 Ru 2.76-2.97
Nb (0.0000, 0.3236, 0.0000) [4 per cell]  3 B 2.70-2.85, 10 Ru 2.79-2.89, 2 Nb 3.03
Nb (0.2500, 0.2500, 0.0000) [4 per cell]  8 Ru 2.62-2.63
B (0.0000, 0.1196, 0.0000) [4 per cell]  6 Ru 2.19
B (0.1227, 0.5000, 0.0000) [4 per cell]  6 Ru 2.18-2.22
Ru (0.0000, 0.0000, 0.5000) [2 per cell]  4 B 2.19
Ru (0.0000, 0.5000, 0.5000) [2 per cell]  4 B 2.22
Ru (0.1038, 0.1798, 0.5000) [8 per cell]  2 B 2.19
Ru (0.1729, 0.3929, 0.5000) [8 per cell]  2 B 2.18

=====

No. 5
## AlNiSe2 (PBEsol)

Data for a geometry-optimized AlNiSe2 structure.

Calculated values
Calculated total energy ... -5.03 eV per atom
Raw formation energy ... -0.54 eV per atom

Lattice parameters (Å, degrees): 6.4422 3.7195 6.3559 90.00 90.11 90.00
Closest atoms and distances in Å follow each position.
Space group Cm (No. 8)
Inequivalent atoms, fractional coordinates:
Al (0.0000, 0.0000, 0.0000) [2 per cell]  3 Ni 2.44, 3 Se 2.51
Ni (0.1660, 0.5000, 0.8189) [2 per cell]  4 Se 2.34-2.45, 3 Al 2.44
Se (0.1672, 0.5000, 0.2038) [2 per cell]  1 Ni 2.45, 3 Al 2.51
Se (0.3325, 0.0000, 0.6710) [2 per cell]  3 Ni 2.34

=====

No. 6
## LiInSb (PBEsol)

Data for a geometry-optimized LiInSb structure.

Calculated values
Calculated total energy ... -3.32 eV per atom
Raw formation energy ... -0.15 eV per atom

Lattice parameters (Å, degrees): 6.9337 6.9337 6.9337 90.00 90.00 90.00
Closest atoms and distances in Å follow each position.
Space group F-43m (No. 216)
Inequivalent atoms, fractional coordinates:
Li (0.0000, 0.0000, 0.0000) [4 per cell]  4 Sb 3.00
In (0.0000, 0.0000, 0.5000) [4 per cell]  4 Sb 3.00
Sb (0.2500, 0.2500, 0.7500) [4 per cell]  4 In 3.00, 4 Li 3.00

=====

No. 7
## CaInI2N (PBEsol)

Data for a geometry-optimized CaInI2N structure.

Calculated values
Calculated total energy ... -3.50 eV per atom
Raw formation energy ... -0.07 eV per atom

Lattice parameters (Å, degrees): 6.0829 6.0829 4.5478 90.00 90.00 90.00
Closest atoms and distances in Å follow each position.
Space group P4/mmm (No. 123)
Inequivalent atoms, fractional coordinates:
Ca (0.0000, 0.0000, 0.0000) [1 per cell]  2 N 2.27
In (0.5000, 0.5000, 0.5000) [1 per cell]  8 I 3.80
I (0.0000, 0.5000, 0.0000) [2 per cell]  2 Ca 3.04
N (0.0000, 0.0000, 0.5000) [1 per cell]  2 Ca 2.27

=====

No. 8
## Ti2SiC (PBEsol)

Data for a geometry-optimized Ti2SiC structure.

Calculated values
Calculated total energy ... -8.88 eV per atom
Raw formation energy ... -0.87 eV per atom

Lattice parameters (Å, degrees): 3.0212 3.0212 12.7671 90.00 90.00 120.00
Closest atoms and distances in Å follow each position.
Space group P6_3/mmc (No. 194)
Inequivalent atoms, fractional coordinates:
Ti (0.3333, 0.6667, 0.0916) [4 per cell]  3 C 2.10
Si (0.3333, 0.6667, 0.7500) [2 per cell]  6 Ti 2.67
C (0.0000, 0.0000, 0.0000) [2 per cell]  6 Ti 2.10

=====

No. 9
## LiAgC2 (PBEsol)

Data for a geometry-optimized LiAgC2 structure.

Calculated values
Calculated total energy ... -4.16 eV per atom

Lattice parameters (Å, degrees): 6.1490 6.1490 4.4591 90.00 90.00 90.00
Closest atoms and distances in Å follow each position.
Space group I-42d (No. 122)
Inequivalent atoms, fractional coordinates:
Li (0.0000, 0.0000, 0.0000) [4 per cell]  2 Ag 2.23, 4 C 2.31
Ag (0.0000, 0.0000, 0.5000) [4 per cell]  4 C 2.18, 2 Li 2.23
C (0.2350, 0.7500, 0.6250) [8 per cell]  2 Ag 2.18, 2 C 2.24, 2 Li 2.31

=====

No. 10
## PdS3Br (PBEsol)

Data for a geometry-optimized PdS3Br structure.

Calculated values
Calculated total energy ... -3.58 eV per atom
Raw formation energy ... 0.62 eV per atom

Lattice parameters (Å, degrees): 4.6376 4.6376 4.6376 90.00 90.00 90.00
Closest atoms and distances in Å follow each position.
Space group Pm-3m (No. 221)
Inequivalent atoms, fractional coordinates:
Pd (0.0000, 0.0000, 0.0000) [1 per cell]  6 S 2.32
S (0.0000, 0.0000, 0.5000) [3 per cell]  2 Pd 2.32
Br (0.5000, 0.5000, 0.5000) [1 per cell]  12 S 3.28

=====

No. 11
## HfTcNiF2 (PBEsol)

Data for a geometry-optimized HfTcNiF2 structure.

Calculated values
Calculated total energy ... -7.16 eV per atom
Raw formation energy ... -0.80 eV per atom

Lattice parameters (Å, degrees): 3.8863 3.8863 5.3890 90.00 90.00 90.00
Closest atoms and distances in Å follow each position.
Space group P4/mmm (No. 123)
Inequivalent atoms, fractional coordinates:
Hf (0.0000, 0.0000, 0.0000) [1 per cell]  4 F 1.94
Tc (0.0000, 0.0000, 0.5000) [1 per cell]  2 Hf 2.69, 4 Ni 2.75
Ni (0.5000, 0.5000, 0.5000) [1 per cell]  4 Tc 2.75
F (0.0000, 0.5000, 0.0000) [2 per cell]  2 Hf 1.94

=====

No. 12
## Fe2Rh (PBEsol)

Data for a geometry-optimized Fe2Rh structure.

Calculated values
Calculated total energy ... -8.64 eV per atom

Lattice parameters (Å, degrees): 2.7652 2.7652 9.3257 90.00 90.00 90.00
Closest atoms and distances in Å follow each position.
Space group P4/nmm (No. 129, origin choice 2)
Inequivalent atoms, fractional coordinates:
Fe (0.2500, 0.2500, 0.0754) [2 per cell]  8 Fe 2.41-2.42
Fe (0.2500, 0.2500, 0.7717) [2 per cell]  4 Fe 2.42, 4 Rh 2.52
Rh (0.2500, 0.2500, 0.3985) [2 per cell]  4 Fe 2.52, 8 Rh 2.72-2.77